First-principles (PBE) data for a relaxed CsNa2AgCl4 crystal, as listed in the Alexandria database.

Theoretical density = 3.09 Mg/m³
Electronic total energy = -51.19 eV/cell
Density of states at the Fermi level = 0.00 states/eV/f.u.
Space group = Cmcm, No. 63
E_form (uncorrected) = -1.48 eV per atom

a = 7.640 Å, b = 7.640 Å, c = 14.630 Å
α = 90.00°, β = 90.00°, γ = 147.34°
Element x y z (fractional)
Cs 0.122 0.878 0.750
Cs 0.878 0.122 0.250
Na 0.375 0.625 0.546
Na 0.375 0.625 0.954
Na 0.625 0.375 0.046
Na 0.625 0.375 0.454
Ag 0.155 0.845 0.250
Ag 0.845 0.155 0.750
Cl 0.000 0.000 0.000
Cl 0.000 0.000 0.500
Cl 0.253 0.747 0.105
Cl 0.253 0.747 0.395
Cl 0.442 0.558 0.750
Cl 0.558 0.442 0.250
Cl 0.747 0.253 0.605
Cl 0.747 0.253 0.895